Compound: CuNiMo2
Source: Alexandria
Functional: GGA-PBE
Structure: optimized geometry

a b c (Å): 3.655 3.726 4.003
angles (deg): 90.00 90.00 90.00
Fractional coordinates of all 4 atoms:
Cu 0.000 0.000 0.000
Ni 0.500 0.500 0.000
Mo 0.000 0.500 0.500
Mo 0.500 0.000 0.500

Computed properties:
Its calculated formation energy is 0.57 eV/f.u. Its space group is Pmmm. The value obtained for the theoretical density is 9.57 Mg/m³. The raw total energy comes out at -7.74 eV/atom.